VASP calculation (PBE-GGA) on crystalline Tl12Te5As3 at its relaxed geometry.

Geometry as POSCAR:
```
Tl12Te5As3
1.0
-9.161 9.161 9.161
9.161 -9.161 9.161
9.161 9.161 -9.161
Tl Te As
48 20 12
direct
0.066 0.232 0.146
0.066 0.334 0.920
0.080 0.646 0.414
0.080 0.934 0.666
0.086 0.732 0.666
0.086 0.854 0.420
0.146 0.066 0.232
0.146 0.580 0.914
0.166 0.232 0.586
0.166 0.434 0.580
0.232 0.146 0.066
0.232 0.586 0.166
0.268 0.334 0.914
0.268 0.434 0.354
0.334 0.914 0.268
0.334 0.920 0.066
0.354 0.268 0.434
0.354 0.586 0.920
0.414 0.080 0.646
0.414 0.834 0.768
0.420 0.086 0.854
0.420 0.834 0.566
0.434 0.354 0.268
0.434 0.580 0.166
0.566 0.420 0.834
0.566 0.646 0.732
0.580 0.166 0.434
0.580 0.914 0.146
0.586 0.166 0.232
0.586 0.920 0.354
0.646 0.414 0.080
0.646 0.732 0.566
0.666 0.080 0.934
0.666 0.086 0.732
0.732 0.566 0.646
0.732 0.666 0.086
0.768 0.414 0.834
0.768 0.854 0.934
0.834 0.566 0.420
0.834 0.768 0.414
0.854 0.420 0.086
0.854 0.934 0.768
0.914 0.146 0.580
0.914 0.268 0.334
0.920 0.066 0.334
0.920 0.354 0.586
0.934 0.666 0.080
0.934 0.768 0.854
0.000 0.000 0.000
0.000 0.000 0.500
0.000 0.500 0.000
0.000 0.500 0.500
0.125 0.750 0.875
0.125 0.875 0.250
0.250 0.125 0.875
0.250 0.625 0.375
0.375 0.250 0.625
0.375 0.625 0.750
0.500 0.000 0.000
0.500 0.000 0.500
0.500 0.500 0.000
0.500 0.500 0.500
0.625 0.375 0.250
0.625 0.750 0.375
0.750 0.375 0.625
0.750 0.875 0.125
0.875 0.125 0.750
0.875 0.250 0.125
0.125 0.250 0.375
0.125 0.375 0.750
0.250 0.375 0.125
0.250 0.875 0.625
0.375 0.125 0.250
0.375 0.750 0.125
0.625 0.250 0.875
0.625 0.875 0.750
0.750 0.125 0.375
0.750 0.625 0.875
0.875 0.625 0.250
0.875 0.750 0.625
```

Computed properties:
The value obtained for the total energy is -2.898 eV per atom.